DFT (PBE) results for a relaxed Nd3Sc2PaAs6 crystal.

```
Nd3Sc2PaAs6
1.0
3.5527 -6.1554 0.0000
3.5527 6.1554 0.0000
-2.3695 0.0000 6.7627
Nd Sc Pa As
3 2 1 6
Direct
0.0000 0.0000 0.0000
0.3340 0.6660 0.0000
0.6660 0.3340 0.0000
0.1668 0.8332 0.5000
0.8332 0.1668 0.5000
0.5000 0.5000 0.5000
0.0866 0.4237 0.2708
0.2385 0.2385 0.7269
0.4237 0.0866 0.2708
0.5763 0.9134 0.7292
0.7615 0.7615 0.2731
0.9134 0.5763 0.7292
```

Calculated values
- DFT total energy: -80.96 eV/cell
- Fermi-level density of states: 4.4 states/eV/f.u.
- Symmetry: C2/m
- Energy relative to the elements: -1.38 eV/atom